Entry 1:
Compound: CsCdF3
Source: Alexandria via LeMat-Bulk
Functional: PBE
Structure: optimized geometry

Cell: 3.846 5.975 8.197 Å, 90.00 90.00 90.00°
Space group Pmmn (No. 59, origin choice 2)
One atom of each set of equivalent atoms:
Cs 0.250 0.250 0.137 [2 per cell]
Cd 0.250 0.750 0.407 [2 per cell]
F 0.250 0.005 0.621 [4 per cell]
F 0.250 0.750 0.137 [2 per cell]

Output
formation energy from raw total energies = -231.0 kJ per mole of atoms
total energy = -3.87 eV/atom


Entry 2:
Compound: CsCdF3
Source: Alexandria via LeMat-Bulk
Functional: PBE
Structure: optimized geometry

Cell: 8.611 6.063 8.444 Å, 90.00 111.94 90.00°
Space group P2_1/c (No. 14)
One atom of each set of equivalent atoms:
Cs 0.125 0.237 0.138 [4 per cell]
Cd 0.417 0.743 0.881 [4 per cell]
F 0.152 0.703 0.231 [4 per cell]
F 0.338 0.080 0.473 [4 per cell]
F 0.449 0.567 0.640 [4 per cell]

Output
formation energy from raw total energies = -233.0 kJ per mole of atoms
total energy = -3.89 eV/atom


Entry 3:
Compound: CsCdF3
Source: Alexandria via LeMat-Bulk
Functional: PBE
Structure: optimized geometry

Cell: 4.1584 4.1584 15.2003 Å, 90.00 90.00 120.00°
Space group P6_3/mmc (No. 194)
One atom of each set of equivalent atoms:
Cs 0.0000 0.0000 0.0000 [2 per cell]
Cd 0.3333 0.6667 0.2500 [2 per cell]
F 0.0000 0.0000 0.2500 [2 per cell]
F 0.3333 0.6667 0.1116 [4 per cell]

Output
formation energy from raw total energies = -227.5 kJ per mole of atoms
total energy = -3.83 eV/atom


Entry 4:
Compound: Cs2CdF
Source: Alexandria via LeMat-Bulk
Functional: PBE
Structure: optimized geometry

Cell: 3.906 3.906 9.748 Å, 90.00 90.00 90.00°
Space group P4/mmm (No. 123)
One atom of each set of equivalent atoms:
Cs 0.000 0.000 0.188 [2 per cell]
Cd 0.500 0.500 0.500 [1 per cell]
F 0.500 0.500 0.000 [1 per cell]

Output
formation energy from raw total energies = -113.2 kJ per mole of atoms
energy relative to the lowest polymorph listed for this composition = 56 meV/atom
total energy = -2.30 eV/atom


Entry 5:
Compound: Cs2Cd3F8
Source: Alexandria via LeMat-Bulk
Functional: PBE
Structure: optimized geometry

Cell: 13.977 7.119 6.078 Å, 90.00 109.64 90.00°
Space group C2/m (No. 12)
One atom of each set of equivalent atoms:
Cs 0.220 0.000 0.176 [4 per cell]
Cd 0.000 0.242 0.500 [4 per cell]
Cd 0.000 0.500 0.000 [2 per cell]
F 0.086 0.500 0.403 [4 per cell]
F 0.090 0.287 0.882 [8 per cell]
F 0.102 0.000 0.489 [4 per cell]

Output
formation energy from raw total energies = -230.4 kJ per mole of atoms
total energy = -3.88 eV/atom


Entry 6:
Compound: Cs3CdF6
Source: Alexandria via LeMat-Bulk
Functional: PBE
Structure: optimized geometry

Cell: 6.933 7.029 11.947 Å, 90.00 124.75 90.00°
Space group P2_1/c (No. 14)
One atom of each set of equivalent atoms:
Cs 0.000 0.000 0.000 [2 per cell]
Cs 0.261 0.038 0.751 [4 per cell]
Cd 0.500 0.000 0.500 [2 per cell]
F 0.204 0.031 0.286 [4 per cell]
F 0.289 0.683 0.040 [4 per cell]
F 0.374 0.248 0.051 [4 per cell]

Output
formation energy from raw total energies = -225.5 kJ per mole of atoms
total energy = -3.81 eV/atom


Entry 7:
Compound: CsCd3F
Source: Alexandria via LeMat-Bulk
Functional: PBE
Structure: optimized geometry

Cell: 5.626 5.626 5.626 Å, 90.00 90.00 90.00°
Space group Pm-3m (No. 221)
One atom of each set of equivalent atoms:
Cs 0.000 0.000 0.000 [1 per cell]
Cd 0.000 0.500 0.500 [3 per cell]
F 0.500 0.500 0.500 [1 per cell]

Output
formation energy from raw total energies = -43.5 kJ per mole of atoms
total energy = -1.55 eV/atom


Entry 8:
Compound: Cs6CdF8
Source: Alexandria via LeMat-Bulk
Functional: PBE
Structure: optimized geometry

Cell: 8.7686 8.7686 17.4104 Å, 90.00 90.00 120.00°
Space group R-3 (No. 148, hexagonal axes)
One atom of each set of equivalent atoms:
Cs 0.0243 0.3975 0.4144 [18 per cell]
Cd 0.0000 0.0000 0.5000 [3 per cell]
F 0.0000 0.0000 0.1612 [6 per cell]
F 0.0109 0.2235 0.5752 [18 per cell]

Output
formation energy from raw total energies = -245.8 kJ per mole of atoms
total energy = -3.95 eV/atom